# 1
# La2ZrCl | the Alexandria database | PBE | relaxed
data_La2ZrCl
_cell_length_a 3.515
_cell_length_b 6.041
_cell_length_c 10.575
_cell_angle_alpha 90.00
_cell_angle_beta 90.00
_cell_angle_gamma 90.00
_symmetry_space_group_name_H-M 'P 1'
_symmetry_Int_Tables_number 1
loop_
_symmetry_equiv_pos_as_xyz
'x,y,z'
loop_
_atom_site_label
_atom_site_fract_x
_atom_site_fract_y
_atom_site_fract_z
_atom_site_occupancy
La1 0.000 0.000 0.000 1
La2 0.000 0.500 0.309 1
La3 0.500 0.000 0.309 1
La4 0.500 0.500 0.000 1
Zr1 0.000 0.000 0.560 1
Zr2 0.500 0.500 0.560 1
Cl1 0.000 0.500 0.757 1
Cl2 0.500 0.000 0.757 1
# ΔE_f (raw) = -8.30 kcal/mol of atoms
# Symmetry = Cmm2

=====

# 2
# GaHgI2N | the Alexandria database | PBE | relaxed
data_GaHgI2N
_cell_length_a 6.249
_cell_length_b 6.249
_cell_length_c 4.235
_cell_angle_alpha 90.00
_cell_angle_beta 90.00
_cell_angle_gamma 90.00
_symmetry_space_group_name_H-M 'P 1'
_symmetry_Int_Tables_number 1
loop_
_symmetry_equiv_pos_as_xyz
'x,y,z'
loop_
_atom_site_label
_atom_site_fract_x
_atom_site_fract_y
_atom_site_fract_z
_atom_site_occupancy
Ga1 0.000 0.000 0.000 1
Hg1 0.500 0.500 0.500 1
I1 0.000 0.500 0.500 1
I2 0.500 0.000 0.500 1
N1 0.500 0.500 0.000 1
# ΔE_f (raw) = 15.88 kcal/mol of atoms
# Symmetry = P4/mmm

=====

# 3
# SmHfZr | the Alexandria database | PBE | relaxed
data_SmHfZr
_cell_length_a 3.285
_cell_length_b 3.285
_cell_length_c 8.224
_cell_angle_alpha 90.00
_cell_angle_beta 90.00
_cell_angle_gamma 120.00
_symmetry_space_group_name_H-M 'P 1'
_symmetry_Int_Tables_number 1
loop_
_symmetry_equiv_pos_as_xyz
'x,y,z'
loop_
_atom_site_label
_atom_site_fract_x
_atom_site_fract_y
_atom_site_fract_z
_atom_site_occupancy
Sm1 0.000 0.000 0.000 1
Hf1 0.667 0.333 0.346 1
Zr1 0.333 0.667 0.644 1
# E_form = 0.17 eV per atom
# Symmetry = P3m1

=====

| no. | N(E_F) (states/eV/cell) | relative energy among the computed polymorphs (eV per atom) |
| --- | --- | --- |
| 1 | 10.36 | 0.219 |
| 2 | 1.45 | 0.281 |
| 3 | 4.79 | 0.038 |